1.
Material: BaPbN3
Method: DFT, PBE
State: optimized geometry

It has space group Pm-3m (No. 221), with a = 4.462 Å, b = 4.462 Å, c = 4.462 Å, α = 90.00°, β = 90.00° and γ = 90.00°. The asymmetric unit holds Ba at (0.000, 0.000, 0.000), Pb at (0.500, 0.500, 0.500) and N at (0.000, 0.500, 0.500).

Its magnetic moment is 0.60 μB per atom. The calculation puts the density of states at the Fermi level at 0.447 states/eV/atom. As for the formation energy from raw total energies: 1047 meV per atom. The total energy is -25.374 eV/f.u.



2.
Material: Li2NpRhO8
Method: DFT, PBE
State: optimized geometry

It has space group I-4m2 (No. 119), with a = 6.372 Å, b = 6.372 Å, c = 7.328 Å, α = 90.00°, β = 90.00° and γ = 90.00°. The asymmetric unit holds Li at (0.000, 0.000, 0.000), Li at (0.000, 0.500, 0.250), Np at (0.000, 0.000, 0.500), Rh at (0.000, 0.500, 0.750), O at (0.000, 0.211, 0.797) and O at (0.000, 0.293, 0.449).

Its magnetic moment is 0.17 μB per atom. The calculation puts the density of states at the Fermi level at 0.488 states/eV/atom. As for the formation energy from raw total energies: -1284 meV per atom. The total energy is -79.195 eV/f.u.



3.
Material: Dy2MgAg
Method: DFT, PBE
State: optimized geometry

It has space group Fm-3m (No. 225), with a = 7.412 Å, b = 7.412 Å, c = 7.412 Å, α = 90.00°, β = 90.00° and γ = 90.00°. The asymmetric unit holds Dy at (0.250, 0.250, 0.250), Mg at (0.000, 0.000, 0.000) and Ag at (0.000, 0.000, 0.500).

The energy of formation comes out at -0.145 eV/atom. Its magnetic moment is 0.00 μB per atom. The calculation puts the density of states at the Fermi level at 1.039 states/eV/atom. The total energy is -14.232 eV/f.u.



4.
Material: NaSn2H2
Method: DFT, PBE
State: optimized geometry

It has space group I4/mmm (No. 139), with a = 4.629 Å, b = 4.629 Å, c = 10.058 Å, α = 90.00°, β = 90.00° and γ = 90.00°. The asymmetric unit holds Na at (0.000, 0.000, 0.000), Sn at (0.000, 0.500, 0.250) and H at (0.000, 0.000, 0.239).

Its magnetic moment is 0.00 μB per atom. The calculation puts the density of states at the Fermi level at 0.451 states/eV/atom. The total energy is -14.221 eV/f.u.



5.
Material: Rb2TaZn2O6
Method: DFT, PBE
State: optimized geometry

It has space group R-3m (No. 166, hexagonal axes), with a = 5.9985 Å, b = 5.9985 Å, c = 17.9216 Å, α = 90.00°, β = 90.00° and γ = 120.00°. The asymmetric unit holds Rb at (0.0000, 0.0000, 0.2102), Ta at (0.0000, 0.0000, 0.0000), Zn at (0.0000, 0.0000, 0.3994) and O at (0.0264, 0.5132, 0.7343).

Its magnetic moment is 0.10 μB per atom. The calculation puts the density of states at the Fermi level at 0.562 states/eV/atom. As for the formation energy from raw total energies: -1785 meV per atom. The total energy is -65.721 eV/f.u.



6.
Material: Cd2InRu
Method: DFT, PBE
State: optimized geometry

It has space group I4/mmm (No. 139), with a = 4.017 Å, b = 4.017 Å, c = 9.406 Å, α = 90.00°, β = 90.00° and γ = 90.00°. The asymmetric unit holds Cd at (0.000, 0.500, 0.250), In at (0.000, 0.000, 0.000) and Ru at (0.000, 0.000, 0.500).

The energy of formation comes out at 0.143 eV/atom. Its magnetic moment is 0.04 μB per atom. The calculation puts the density of states at the Fermi level at 0.693 states/eV/atom. The total energy is -13.272 eV/f.u.



7.
Material: Rb3Sb2Pb5
Method: DFT, PBE
State: optimized geometry

It has space group Ibam (No. 72), with a = 13.332 Å, b = 16.143 Å, c = 7.589 Å, α = 90.00°, β = 90.00° and γ = 90.00°. The asymmetric unit holds Rb at (0.000, 0.000, 0.250), Rb at (0.249, 0.136, 0.000), Sb at (0.132, 0.155, 0.500), Pb at (0.000, 0.266, 0.250), Pb at (0.000, 0.500, 0.250) and Pb at (0.144, 0.386, 0.000).

Its magnetic moment is 0.00 μB per atom. The calculation puts the density of states at the Fermi level at 0.316 states/eV/atom. As for the formation energy from raw total energies: -185 meV per atom. The total energy is -31.540 eV/f.u.



8.
Material: CuNi6Rh
Method: DFT, PBE
State: optimized geometry

It has space group Cmmm (No. 65), with a = 7.148 Å, b = 10.145 Å, c = 10.164 Å, α = 90.00°, β = 90.00° and γ = 90.00°. The asymmetric unit holds Cu at (0.000, 0.000, 0.248), Cu at (0.000, 0.251, 0.000), Ni at (0.000, 0.000, 0.000), Ni at (0.000, 0.000, 0.500), Ni at (0.000, 0.249, 0.248), Ni at (0.000, 0.500, 0.000), Ni at (0.000, 0.500, 0.500), Ni at (0.248, 0.124, 0.373), Ni at (0.248, 0.126, 0.123), Rh at (0.000, 0.251, 0.500) and Rh at (0.000, 0.500, 0.247).

The energy of formation comes out at 0.028 eV/atom. Its magnetic moment is 0.60 μB per atom. The calculation puts the density of states at the Fermi level at 1.324 states/eV/atom. The total energy is -45.914 eV/f.u.



9.
Material: MnBe2C
Method: DFT, PBE
State: optimized geometry

It has space group I-42d (No. 122), with a = 5.949 Å, b = 5.949 Å, c = 3.822 Å, α = 90.00°, β = 90.00° and γ = 90.00°. The asymmetric unit holds Mn at (0.000, 0.000, 0.000), Be at (0.152, 0.750, 0.625) and C at (0.000, 0.000, 0.500).

The energy of formation comes out at 0.277 eV/atom. Its magnetic moment is 0.00 μB per atom. The calculation puts the density of states at the Fermi level at 0.487 states/eV/atom. The total energy is -24.739 eV/f.u.



10.
Material: AcCd2GaAg2
Method: DFT, PBE
State: optimized geometry

It has space group I4/mmm (No. 139), with a = 5.306 Å, b = 5.306 Å, c = 11.686 Å, α = 90.00°, β = 90.00° and γ = 90.00°. The asymmetric unit holds Ac at (0.000, 0.000, 0.000), Cd at (0.000, 0.500, 0.250), Ga at (0.000, 0.000, 0.500) and Ag at (0.000, 0.000, 0.289).

The energy of formation comes out at 0.019 eV/atom. Its magnetic moment is 0.00 μB per atom. The calculation puts the density of states at the Fermi level at 0.620 states/eV/atom. The total energy is -14.552 eV/f.u.



11.
Material: RbBeSnCl5
Method: DFT, PBE
State: optimized geometry

It has space group C2/c (No. 15), with a = 9.081 Å, b = 12.029 Å, c = 9.979 Å, α = 90.00°, β = 114.83° and γ = 90.00°. The asymmetric unit holds Rb at (0.000, 0.145, 0.250), Be at (0.000, 0.189, 0.750), Sn at (0.000, 0.500, 0.000), Cl at (0.000, 0.408, 0.250), Cl at (0.110, 0.284, 0.647) and Cl at (0.166, 0.089, 0.910).

Its magnetic moment is 0.00 μB per atom. The calculation puts the density of states at the Fermi level at 0.000 states/eV/atom. As for the formation energy from raw total energies: -1399 meV per atom. The total energy is -29.119 eV/f.u.



12.
Material: Ac2Pu3Ge4
Method: DFT, PBE
State: optimized geometry

It has space group P2_1/c (No. 14), with a = 8.077 Å, b = 8.108 Å, c = 7.770 Å, α = 90.00°, β = 107.34° and γ = 90.00°. The asymmetric unit holds Ac at (0.189, 0.174, 0.067), Pu at (0.255, 0.682, 0.248), Pu at (0.500, 0.000, 0.500), Ge at (0.076, 0.535, 0.872) and Ge at (0.495, 0.116, 0.877).

The energy of formation comes out at -0.560 eV/atom. Its magnetic moment is 2.00 μB per atom. The calculation puts the density of states at the Fermi level at 2.464 states/eV/atom. The total energy is -74.725 eV/f.u.